Entry from Alexandria via LeMat-Bulk: an optimized crystal structure of BaLi17Nd (GGA-PBE).

CIF file:
```
data_BaLi17Nd
_chemical_formula_sum 'Ba3 Li51 Nd3'
_space_group_name_H-M_alt 'R 3 m'
_space_group_IT_number 160
_space_group_name_Hall 'R 3 -2"'
_cell_length_a 10.2075
_cell_length_b 10.2075
_cell_length_c 14.8969
_cell_angle_alpha 90.00
_cell_angle_beta 90.00
_cell_angle_gamma 120.00
loop_
_atom_site_label
_atom_site_type_symbol
_atom_site_fract_x
_atom_site_fract_y
_atom_site_fract_z
Ba1 Ba 0.0000 0.0000 0.0000
Li1 Li 0.0000 0.0000 0.2621
Li2 Li 0.0000 0.0000 0.4539
Li3 Li 0.0047 0.5024 0.5024
Li4 Li 0.0088 0.2969 0.3552
Li5 Li 0.0204 0.5102 0.2037
Li6 Li 0.1671 0.3341 0.1886
Nd1 Nd 0.0000 0.0000 0.6966
```

Output
Size of the total moment, μB per formula unit: 1.54
DFT total energy, eV per atom: -2.01



Entry from Alexandria via LeMat-Bulk: an optimized crystal structure of BaLi2NdPb2 (GGA-PBE).

CIF file:
```
data_BaLi2NdPb2
_chemical_formula_sum 'Ba1 Li2 Nd1 Pb2'
_space_group_name_H-M_alt 'P -3 m 1'
_space_group_IT_number 164
_space_group_name_Hall '-P 3 2"'
_cell_length_a 4.9939
_cell_length_b 4.9939
_cell_length_c 8.4023
_cell_angle_alpha 90.00
_cell_angle_beta 90.00
_cell_angle_gamma 120.00
loop_
_atom_site_label
_atom_site_type_symbol
_atom_site_fract_x
_atom_site_fract_y
_atom_site_fract_z
Ba1 Ba 0.0000 0.0000 0.0000
Li1 Li 0.3333 0.6667 0.6850
Nd1 Nd 0.0000 0.0000 0.5000
Pb1 Pb 0.3333 0.6667 0.2934
```

Output
Size of the total moment, μB per formula unit: 0.00
DFT total energy, eV per atom: -3.49



Entry from Alexandria via LeMat-Bulk: an optimized crystal structure of BaLi2Nd2Pb2 (GGA-PBE).

CIF file:
```
data_BaLi2Nd2Pb2
_chemical_formula_sum 'Ba3 Li6 Nd6 Pb6'
_space_group_name_H-M_alt 'R -3 m'
_space_group_IT_number 166
_space_group_name_Hall '-R 3 2"'
_cell_length_a 5.0481
_cell_length_b 5.0481
_cell_length_c 29.9433
_cell_angle_alpha 90.00
_cell_angle_beta 90.00
_cell_angle_gamma 120.00
loop_
_atom_site_label
_atom_site_type_symbol
_atom_site_fract_x
_atom_site_fract_y
_atom_site_fract_z
Ba1 Ba 0.0000 0.0000 0.0000
Li1 Li 0.0000 0.0000 0.4223
Nd1 Nd 0.0000 0.0000 0.1323
Pb1 Pb 0.0000 0.0000 0.2520
```

Output
Size of the total moment, μB per formula unit: 0.00
DFT total energy, eV per atom: -3.63



Entry from Alexandria via LeMat-Bulk: an optimized crystal structure of Ba4LiNd3S8 (GGA-PBE).

CIF file:
```
data_Ba4LiNd3S8
_chemical_formula_sum 'Ba12 Li3 Nd9 S24'
_space_group_name_H-M_alt 'R -3 m'
_space_group_IT_number 166
_space_group_name_Hall '-R 3 2"'
_cell_length_a 8.5007
_cell_length_b 8.5007
_cell_length_c 21.3437
_cell_angle_alpha 90.00
_cell_angle_beta 90.00
_cell_angle_gamma 120.00
loop_
_atom_site_label
_atom_site_type_symbol
_atom_site_fract_x
_atom_site_fract_y
_atom_site_fract_z
Ba1 Ba 0.0000 0.0000 0.0000
Ba2 Ba 0.0000 0.5000 0.0000
Li1 Li 0.0000 0.0000 0.5000
Nd1 Nd 0.0000 0.5000 0.5000
S1 S 0.0000 0.0000 0.2402
S2 S 0.0030 0.5015 0.7604
```

Output
Size of the total moment, μB per formula unit: 0.00
DFT total energy, eV per atom: -5.51



Entry from Alexandria via LeMat-Bulk: an optimized crystal structure of BaLiNd2S4 (GGA-PBE).

CIF file:
```
data_BaLiNd2S4
_chemical_formula_sum 'Ba4 Li4 Nd8 S16'
_space_group_name_H-M_alt 'C m c m'
_space_group_IT_number 63
_space_group_name_Hall '-C 2c 2'
_cell_length_a 4.134
_cell_length_b 13.753
_cell_length_c 14.094
_cell_angle_alpha 90.00
_cell_angle_beta 90.00
_cell_angle_gamma 90.00
loop_
_atom_site_label
_atom_site_type_symbol
_atom_site_fract_x
_atom_site_fract_y
_atom_site_fract_z
Ba1 Ba 0.000 0.114 0.250
Li1 Li 0.000 0.157 0.750
Nd1 Nd 0.000 0.371 0.055
S1 S 0.000 0.000 0.000
S2 S 0.000 0.267 0.618
S3 S 0.000 0.436 0.250
```

Output
Size of the total moment, μB per formula unit: 0.00
DFT total energy, eV per atom: -5.68



Entry from Alexandria via LeMat-Bulk: an optimized crystal structure of BaLi2NdSb2 (GGA-PBE).

CIF file:
```
data_BaLi2NdSb2
_chemical_formula_sum 'Ba1 Li2 Nd1 Sb2'
_space_group_name_H-M_alt 'P -3 m 1'
_space_group_IT_number 164
_space_group_name_Hall '-P 3 2"'
_cell_length_a 4.8280
_cell_length_b 4.8280
_cell_length_c 8.3829
_cell_angle_alpha 90.00
_cell_angle_beta 90.00
_cell_angle_gamma 120.00
loop_
_atom_site_label
_atom_site_type_symbol
_atom_site_fract_x
_atom_site_fract_y
_atom_site_fract_z
Ba1 Ba 0.0000 0.0000 0.0000
Li1 Li 0.3333 0.6667 0.7009
Nd1 Nd 0.0000 0.0000 0.5000
Sb1 Sb 0.3333 0.6667 0.2791
```

Output
Size of the total moment, μB per formula unit: 0.00
DFT total energy, eV per atom: -4.02



Entry from Alexandria via LeMat-Bulk: an optimized crystal structure of Ba4LiNd3Se8 (GGA-PBE).

CIF file:
```
data_Ba4LiNd3Se8
_chemical_formula_sum 'Ba12 Li3 Nd9 Se24'
_space_group_name_H-M_alt 'R -3 m'
_space_group_IT_number 166
_space_group_name_Hall '-R 3 2"'
_cell_length_a 8.8289
_cell_length_b 8.8289
_cell_length_c 22.1060
_cell_angle_alpha 90.00
_cell_angle_beta 90.00
_cell_angle_gamma 120.00
loop_
_atom_site_label
_atom_site_type_symbol
_atom_site_fract_x
_atom_site_fract_y
_atom_site_fract_z
Ba1 Ba 0.0000 0.0000 0.0000
Ba2 Ba 0.0000 0.5000 0.0000
Li1 Li 0.0000 0.0000 0.5000
Nd1 Nd 0.0000 0.5000 0.5000
Se1 Se 0.0000 0.0000 0.2409
Se2 Se 0.0007 0.5004 0.7601
```

Output
Size of the total moment, μB per formula unit: 0.00
DFT total energy, eV per atom: -5.10



Entry from Alexandria via LeMat-Bulk: an optimized crystal structure of BaLiNdSe3 (GGA-PBE).

CIF file:
```
data_BaLiNdSe3
_chemical_formula_sum 'Ba2 Li2 Nd2 Se6'
_space_group_name_H-M_alt 'P 1 21/m 1'
_space_group_IT_number 11
_space_group_name_Hall '-P 2yb'
_cell_length_a 9.063
_cell_length_b 4.333
_cell_length_c 9.362
_cell_angle_alpha 90.00
_cell_angle_beta 103.71
_cell_angle_gamma 90.00
loop_
_atom_site_label
_atom_site_type_symbol
_atom_site_fract_x
_atom_site_fract_y
_atom_site_fract_z
Ba1 Ba 0.187 0.250 0.238
Li1 Li 0.085 0.250 0.589
Nd1 Nd 0.331 0.750 0.836
Se1 Se 0.114 0.250 0.867
Se2 Se 0.203 0.750 0.516
Se3 Se 0.442 0.750 0.166
```

Output
Size of the total moment, μB per formula unit: 0.00
DFT total energy, eV per atom: -4.98



Entry from Alexandria via LeMat-Bulk: an optimized crystal structure of Ba2LiNdSe4 (GGA-PBE).

CIF file:
```
data_Ba2LiNdSe4
_chemical_formula_sum 'Ba2 Li1 Nd1 Se4'
_space_group_name_H-M_alt 'P 1 2/m 1'
_space_group_IT_number 10
_space_group_name_Hall '-P 2y'
_cell_length_a 7.670
_cell_length_b 4.476
_cell_length_c 7.710
_cell_angle_alpha 90.00
_cell_angle_beta 109.02
_cell_angle_gamma 90.00
loop_
_atom_site_label
_atom_site_type_symbol
_atom_site_fract_x
_atom_site_fract_y
_atom_site_fract_z
Ba1 Ba 0.000 0.000 0.000
Ba2 Ba 0.500 0.500 0.000
Li1 Li 0.000 0.500 0.500
Nd1 Nd 0.500 0.000 0.500
Se1 Se 0.247 0.000 0.722
Se2 Se 0.261 0.500 0.280
```

Output
Size of the total moment, μB per formula unit: 0.00
DFT total energy, eV per atom: -4.84



Entry from Alexandria via LeMat-Bulk: an optimized crystal structure of Ba2Li2NdSe4 (GGA-PBE).

CIF file:
```
data_Ba2Li2NdSe4
_chemical_formula_sum 'Ba4 Li4 Nd2 Se8'
_space_group_name_H-M_alt 'C 1 2/m 1'
_space_group_IT_number 12
_space_group_name_Hall '-C 2y'
_cell_length_a 15.765
_cell_length_b 4.291
_cell_length_c 7.717
_cell_angle_alpha 90.00
_cell_angle_beta 110.30
_cell_angle_gamma 90.00
loop_
_atom_site_label
_atom_site_type_symbol
_atom_site_fract_x
_atom_site_fract_y
_atom_site_fract_z
Ba1 Ba 0.133 0.000 0.058
Li1 Li 0.181 0.500 0.494
Nd1 Nd 0.000 0.000 0.500
Se1 Se 0.021 0.500 0.248
Se2 Se 0.206 0.000 0.696
```

Output
Size of the total moment, μB per formula unit: 0.31
DFT total energy, eV per atom: -4.58



Entry from Alexandria via LeMat-Bulk: an optimized crystal structure of BaLi2Nd2Si2 (GGA-PBE).

CIF file:
```
data_BaLi2Nd2Si2
_chemical_formula_sum 'Ba3 Li6 Nd6 Si6'
_space_group_name_H-M_alt 'R -3 m'
_space_group_IT_number 166
_space_group_name_Hall '-R 3 2"'
_cell_length_a 4.7352
_cell_length_b 4.7352
_cell_length_c 28.8888
_cell_angle_alpha 90.00
_cell_angle_beta 90.00
_cell_angle_gamma 120.00
loop_
_atom_site_label
_atom_site_type_symbol
_atom_site_fract_x
_atom_site_fract_y
_atom_site_fract_z
Ba1 Ba 0.0000 0.0000 0.0000
Li1 Li 0.0000 0.0000 0.4171
Nd1 Nd 0.0000 0.0000 0.1306
Si1 Si 0.0000 0.0000 0.2478
```

Output
Size of the total moment, μB per formula unit: 0.00
DFT total energy, eV per atom: -4.09



Entry from Alexandria via LeMat-Bulk: an optimized crystal structure of BaLiNdSn (GGA-PBE).

CIF file:
```
data_BaLiNdSn
_chemical_formula_sum 'Ba4 Li4 Nd4 Sn4'
_space_group_name_H-M_alt 'F -4 3 m'
_space_group_IT_number 216
_space_group_name_Hall 'F -4 2 3'
_cell_length_a 8.044
_cell_length_b 8.044
_cell_length_c 8.044
_cell_angle_alpha 90.00
_cell_angle_beta 90.00
_cell_angle_gamma 90.00
loop_
_atom_site_label
_atom_site_type_symbol
_atom_site_fract_x
_atom_site_fract_y
_atom_site_fract_z
Ba1 Ba 0.000 0.000 0.000
Li1 Li 0.250 0.250 0.250
Nd1 Nd 0.000 0.000 0.500
Sn1 Sn 0.250 0.250 0.750
```

Output
Size of the total moment, μB per formula unit: 0.00
DFT total energy, eV per atom: -3.48